# 1
A plane-wave DFT calculation with PBEsol was carried out for crystalline TbSi2Ni2 at its relaxed geometry.

Lattice parameters (Å, degrees): 3.933 3.933 5.470 111.07 111.07 90.00
Fractional positions:
Tb 0.000 0.000 0.000
Ni 0.750 0.250 0.500
Ni 0.250 0.750 0.500
Si 0.372 0.372 0.745
Si 0.628 0.628 0.255

---

# 2
A plane-wave DFT calculation with PBEsol was carried out for crystalline Tb2Si5Ni3 at its relaxed geometry.

Lattice parameters (Å, degrees): 5.609 7.794 7.794 74.88 68.91 68.91
Fractional positions:
Ni 0.250 0.500 0.500
Ni 0.866 0.022 0.246
Si 0.607 0.546 0.241
Si 0.107 0.241 0.546
Ni 0.366 0.246 0.022
Si 0.893 0.759 0.454
Tb 0.632 0.105 0.632
Si 0.750 0.000 0.000
Si 0.484 0.266 0.266
Si 0.393 0.454 0.759
Si 0.016 0.734 0.734
Si 0.984 0.266 0.266
Ni 0.750 0.500 0.500
Tb 0.132 0.632 0.105
Ni 0.634 0.754 0.978
Si 0.250 0.000 0.000
Ni 0.134 0.978 0.754
Si 0.516 0.734 0.734
Tb 0.368 0.895 0.368
Tb 0.868 0.368 0.895

---

# 3
A plane-wave DFT calculation with PBEsol was carried out for crystalline SiTcNi2 at its relaxed geometry.

Lattice parameters (Å, degrees): 2.551 4.455 4.455 112.75 90.00 90.00
Fractional positions:
Ni 0.000 0.500 0.000
Ni 0.000 0.000 0.500
Si 0.500 0.000 0.000
Tc 0.500 0.500 0.500

---

# 4
A plane-wave DFT calculation with PBEsol was carried out for crystalline SiTcNi2 at its relaxed geometry.

Lattice parameters (Å, degrees): 2.695 3.040 5.598 90.00 90.00 90.00
Fractional positions:
Ni 0.000 0.000 0.014
Tc 0.500 0.500 0.751
Ni 0.500 0.500 0.266
Si 0.000 0.000 0.470

---

# 5
A plane-wave DFT calculation with PBEsol was carried out for crystalline SiTcNi6 at its relaxed geometry.

Lattice parameters (Å, degrees): 6.087 6.087 9.939 90.00 90.00 109.58
Last column: magnetic moment on the atom in μB.
Fractional positions:
Ni 0.000 0.000 0.500  0.07
Ni 0.373 0.122 0.377  0.12
Ni 0.122 0.373 0.623  0.12
Ni 0.249 0.751 0.746  0.17
Ni 0.878 0.627 0.377  0.12
Tc 0.746 0.254 0.000  0.99
Ni 0.373 0.122 0.623  0.12
Ni 0.369 0.121 0.129  0.20
Si 0.255 0.745 0.500  0.00
Ni 0.369 0.121 0.871  0.20
Ni 0.500 0.500 0.500  0.06
Tc 0.254 0.746 0.000  0.99
Tc 0.500 0.500 0.251  0.80
Ni 0.631 0.879 0.129  0.20
Ni 0.631 0.879 0.871  0.20
Ni 0.000 0.000 0.000  0.23
Ni 0.121 0.369 0.129  0.20
Ni 0.879 0.631 0.871  0.20
Ni 0.879 0.631 0.129  0.20
Si 0.000 0.000 0.253  0.01
Ni 0.627 0.878 0.623  0.12
Ni 0.121 0.369 0.871  0.20
Ni 0.627 0.878 0.377  0.12
Ni 0.500 0.500 0.000  0.29
Tc 0.500 0.500 0.749  0.80
Ni 0.751 0.249 0.254  0.17
Ni 0.122 0.373 0.377  0.12
Si 0.000 0.000 0.747  0.01
Ni 0.249 0.751 0.254  0.17
Si 0.745 0.255 0.500  0.00
Ni 0.878 0.627 0.623  0.12
Ni 0.751 0.249 0.746  0.17

---

# 6
A plane-wave DFT calculation with PBEsol was carried out for crystalline SiTcNi2 at its relaxed geometry.

Lattice parameters (Å, degrees): 4.028 4.028 4.028 60.00 60.00 60.00
Fractional positions:
Tc 0.250 0.250 0.250
Ni 0.000 0.000 0.000
Si 0.500 0.500 0.500
Ni 0.750 0.750 0.750

---

| no. | D(E_F) (states/eV/f.u.) | uncorrected formation energy (eV per atom) |
| --- | --- | --- |
| 1 | 3.34 | -0.92 |
| 2 | 2.42 | -0.89 |
| 3 | 4.39 | -0.20 |
| 4 | 3.91 | -0.27 |
| 5 | 8.19 | -0.19 |
| 6 | 5.47 | -0.29 |